Entry from Alexandria via LeMat-Bulk: a relaxed structure of NbZn2Ga2 (PBE-GGA).

Output
Electronic total energy: -36.8 eV per cell
Symmetry: P4/mbm, No. 127
Excess energy over the best structure of this formula in the dataset: 14 meV/atom
Fermi-level density of states: 3.8 states/eV/f.u.

Cell: 7.3012 7.3012 3.0149 Å, 90.00 90.00 90.00°
Closest atoms and distances in Å follow each position.
Fractional positions:
Nb: 0.0000 0.0000 0.0000  4 Zn 2.90, 2 Nb 3.01, 8 Ga 3.08
Nb: 0.5000 0.5000 0.0000  4 Zn 2.90, 2 Nb 3.01, 8 Ga 3.08
Zn: 0.3779 0.8779 0.0000  1 Zn 2.52, 6 Ga 2.55-2.70
Zn: 0.8779 0.6221 0.0000  1 Zn 2.52, 6 Ga 2.55-2.70
Zn: 0.6221 0.1221 0.0000  1 Zn 2.52, 6 Ga 2.55-2.70
Zn: 0.1221 0.3779 0.0000  1 Zn 2.52, 6 Ga 2.55-2.70
Ga: 0.1787 0.6787 0.5000  6 Zn 2.55-2.70
Ga: 0.6787 0.8213 0.5000  6 Zn 2.55-2.70
Ga: 0.8213 0.3213 0.5000  6 Zn 2.55-2.70
Ga: 0.3213 0.1787 0.5000  6 Zn 2.55-2.70